Material: LiTlO2
Method: DFT, PBE-GGA
State: optimized geometry

Structure (POSCAR):
```
LiTlO2
1.0
3.324 0.000 0.007
0.001 4.539 0.003
-0.011 -0.004 6.658
O Tl Li
4 2 2
Cartesian
3.114 2.050 5.067
1.438 4.332 3.124
1.450 4.319 6.567
3.103 2.063 1.851
1.450 2.064 3.525
3.115 4.335 1.452
1.458 2.079 6.404
3.123 4.349 5.234
```

- symmetry = Pc
- formation energy without anion corrections (eV per atom) = -1.11
- volume (Å³/cell) = 100

***

Material: LiTl3O
Method: DFT, PBE-GGA
State: optimized geometry

Structure (POSCAR):
```
LiTl3O
1.0
-3.745 -1.184 -3.135
3.317 -1.980 -3.214
-0.478 -4.464 2.257
O Tl Li
1 3 1
Cartesian
-0.453 -3.814 -2.046
-0.239 -2.232 1.128
-1.872 -0.592 -1.567
1.658 -0.990 -1.607
0.000 0.000 0.000
```

- symmetry = Pm-3m
- formation energy without anion corrections (eV per atom) = 0.32
- volume (Å³/cell) = 127

***

Material: LiTlO2
Method: DFT, PBE-GGA
State: optimized geometry

Structure (POSCAR):
```
LiTlO2
1.0
-1.185 3.308 0.622
-1.774 0.135 -4.103
-6.038 -2.638 2.523
Li O Tl
2 4 2
Cartesian
-4.478 1.049 0.238
-6.082 -1.109 -1.578
-3.572 -0.653 0.780
-6.267 0.538 -0.453
-3.238 1.783 -1.304
-6.298 -1.921 2.334
-3.453 0.042 -2.690
-7.118 -0.101 1.326
```

- symmetry = Pmn2_1
- formation energy without anion corrections (eV per atom) = -1.09
- volume (Å³/cell) = 113

***

Material: LiTlO2
Method: DFT, PBE-GGA
State: optimized geometry

Structure (POSCAR):
```
LiTlO2
1.0
3.241 0.000 0.000
1.620 2.806 0.000
1.620 0.935 5.445
O Li Tl
2 1 1
Cartesian
1.620 0.935 1.344
1.620 0.935 4.173
4.861 2.806 5.356
3.241 1.871 2.740
```

- symmetry = R3m
- formation energy without anion corrections (eV per atom) = -1.00
- volume (Å³/cell) = 50

***

Material: Li2TlO3
Method: DFT, PBE-GGA
State: optimized geometry

Structure (POSCAR):
```
Li2TlO3
1.0
-0.210 -1.634 -2.804
-0.073 -3.844 2.246
-4.437 2.953 0.497
O Tl Li
3 1 2
Cartesian
0.000 0.000 0.000
-1.695 -2.666 -0.205
-3.025 0.142 0.144
-0.036 -1.922 1.123
-3.110 -1.778 1.270
-1.611 -0.747 -1.330
```

- symmetry = Immm
- formation energy without anion corrections (eV per atom) = -1.09
- volume (Å³/cell) = 66

***

Material: LiTlO2
Method: DFT, PBE-GGA
State: optimized geometry

Structure (POSCAR):
```
LiTlO2
1.0
3.978 -0.307 4.754
5.617 1.375 2.252
3.365 3.030 4.243
O Li Tl
2 1 1
Cartesian
11.658 3.686 10.118
1.303 0.412 1.131
0.000 0.000 0.000
6.480 2.049 5.625
```

- symmetry = R-3m
- formation energy without anion corrections (eV per atom) = -1.04
- volume (Å³/cell) = 60

***

Material: Li3TlO2
Method: DFT, PBE-GGA
State: optimized geometry

Structure (POSCAR):
```
Li3TlO2
1.0
3.290 0.000 0.000
-1.645 5.512 1.186
0.000 -1.211 9.308
Li O Tl
6 4 2
Cartesian
1.645 0.233 6.374
0.000 4.068 4.120
1.645 1.649 4.487
0.000 2.653 6.007
0.000 0.027 3.730
1.645 4.274 6.764
0.000 3.749 7.749
0.000 0.778 5.516
1.645 0.552 2.744
1.645 3.523 4.977
1.645 3.078 9.349
0.000 1.223 1.145
```

- symmetry = C2/m
- formation energy without anion corrections (eV per atom) = -1.47
- volume (Å³/cell) = 174

***

Material: LiTlO2
Method: DFT, PBE-GGA
State: optimized geometry

Structure (POSCAR):
```
LiTlO2
1.0
5.877 0.000 0.000
0.000 3.780 0.000
0.000 0.000 9.667
Tl O Li
4 8 4
Cartesian
2.480 0.945 8.257
5.419 0.945 6.244
0.458 2.835 3.423
3.397 2.835 1.410
0.278 0.945 8.407
3.570 2.835 8.669
5.599 2.835 1.260
2.661 2.835 3.574
0.632 2.835 5.832
3.216 0.945 6.094
2.307 0.945 0.998
5.245 0.945 3.835
2.581 2.835 5.655
5.520 2.835 8.847
0.357 0.945 0.821
3.296 0.945 4.013
```

- symmetry = Pnma
- formation energy without anion corrections (eV per atom) = -1.15
- volume (Å³/cell) = 215

***

Material: LiTlO2
Method: DFT, PBE-GGA
State: optimized geometry

Structure (POSCAR):
```
LiTlO2
1.0
0.268 7.213 4.730
-3.380 -5.694 -5.534
-1.983 -2.216 3.491
O Tl Li
4 2 2
Cartesian
-0.420 5.981 5.063
-3.180 -3.786 -2.703
-4.675 -6.678 -2.376
-1.915 3.089 5.391
-1.483 4.618 6.607
-3.612 -5.316 -3.919
-2.308 1.701 4.287
-2.787 -2.398 -1.599
```

- symmetry = Cmcm
- formation energy without anion corrections (eV per atom) = -0.74
- volume (Å³/cell) = 138

***

Material: LiTlO2
Method: DFT, PBE-GGA
State: optimized geometry

Structure (POSCAR):
```
LiTlO2
1.0
4.773 0.000 0.000
0.000 4.773 0.000
2.387 2.387 5.009
O Tl Li
4 2 2
Cartesian
3.429 1.193 1.252
5.967 5.815 3.757
3.580 3.731 3.757
1.345 3.580 1.252
4.773 2.387 2.505
0.000 0.000 0.000
2.387 2.387 0.000
2.387 4.773 2.505
```

- symmetry = I-42d
- formation energy without anion corrections (eV per atom) = -1.15
- volume (Å³/cell) = 114

***

Q: Among the records above, which one has the lowest formation energy without anion corrections?
A: Li3TlO2